Below is Na6Ce after structural relaxation, with properties calculated at the GGA-PBE level.

Computed properties:
**ΔE_f**: 558 meV/atom
**Space group**: Im-3m, No. 229
**Total moment**: 1.8 μB per formula unit

The structure in POSCAR format:
```
Na6Ce
1.0
7.182 0.000 0.000
-2.394 6.771 0.000
-2.394 -3.385 5.864
Na Ce
6 1
Direct
0.250 0.750 0.500
0.500 0.750 0.250
0.250 0.500 0.750
0.750 0.250 0.500
0.500 0.250 0.750
0.750 0.500 0.250
0.000 0.000 0.000
```